(1)
Here is a relaxed structure of VGa2PbO6 from Alexandria. Energies are from PBE with a Hubbard U.

## Properties
SG ... No. 15
Energy ... -6.39 eV per atom

The structure in extended XYZ format:
```
20
Lattice="4.523 -5.682 0.000 4.523 5.682 0.000 -2.752 0.000 5.676" Properties=species:S:1:pos:R:3 pbc="T T T"
V 2.459 3.371 4.257
V 3.835 -3.371 1.419
Ga 2.426 0.847 1.899
Ga 1.050 -0.847 4.736
Ga 5.244 0.847 0.939
Ga 3.868 -0.847 3.777
Pb 3.835 4.566 1.419
Pb 2.459 -4.566 4.257
O 0.628 0.987 1.137
O 2.373 2.625 2.638
O -0.748 -0.987 3.975
O 3.328 0.603 0.214
O 5.296 2.625 0.199
O 1.952 -0.603 3.052
O 4.341 0.603 2.624
O 0.997 -2.625 5.476
O 2.965 -0.603 5.462
O 7.042 0.987 1.701
O 3.920 -2.625 3.037
O 5.666 -0.987 4.538
```

=====

(2)
Here is a relaxed structure of GaPb2WO6 from Alexandria. Energies are from PBE with a Hubbard U.

## Properties
SG ... No. 2
Energy ... -6.31 eV per atom

The structure in extended XYZ format:
```
20
Lattice="5.662 0.000 0.000 -0.029 5.670 0.000 -0.119 -0.046 8.135" Properties=species:S:1:pos:R:3 pbc="T T T"
Ga 0.000 0.000 0.000
Ga 2.757 2.812 4.068
Pb -0.002 2.741 2.086
Pb 2.706 -0.012 2.092
Pb 2.808 5.636 6.044
Pb 5.516 2.883 6.050
W -0.060 -0.023 4.068
W 2.816 2.835 0.000
O 0.177 0.225 1.939
O 1.173 1.629 4.178
O 1.350 4.129 0.041
O 1.412 1.335 7.942
O 1.561 4.407 4.006
O 2.698 2.667 1.965
O 2.815 2.957 6.170
O 3.952 1.217 4.129
O 4.102 4.289 0.194
O 4.164 1.495 8.094
O 4.340 3.995 3.957
O 5.337 5.399 6.196
```